Entry from the Alexandria database: crystalline Cs2KPuI5 at its relaxed geometry (GGA-PBE).

POSCAR file:
```
Cs2KPuI5
1.0
2.471 -10.849 0.000
2.471 10.849 0.000
0.000 0.000 17.728
Cs K Pu I
4 2 2 10
direct
0.083 0.917 0.500
0.141 0.859 0.139
0.859 0.141 0.639
0.917 0.083 0.000
0.458 0.542 0.297
0.542 0.458 0.797
0.228 0.772 0.874
0.772 0.228 0.374
0.084 0.916 0.918
0.259 0.741 0.496
0.295 0.705 0.257
0.374 0.626 0.834
0.494 0.506 0.618
0.506 0.494 0.118
0.626 0.374 0.334
0.705 0.295 0.757
0.741 0.259 0.996
0.916 0.084 0.418
```

Calculated values
Energy: -4.09 eV per atom
ΔE_f (raw): -1.326 eV/atom
Space-group type: Cmc2_1 (36)

Entry from the Alexandria database: crystalline CsK2PuI6 at its relaxed geometry (GGA-PBE).

POSCAR file:
```
CsK2PuI6
1.0
4.416 2.550 7.955
-4.416 2.550 7.955
0.000 -5.099 7.955
Cs K Pu I
1 2 1 6
direct
0.000 0.000 0.000
0.286 0.286 0.286
0.804 0.804 0.804
0.483 0.483 0.483
0.114 0.660 0.428
0.253 0.577 0.840
0.428 0.114 0.660
0.577 0.840 0.253
0.660 0.428 0.114
0.840 0.253 0.577
```

Calculated values
Energy: -3.99 eV per atom
ΔE_f (raw): -1.327 eV/atom
Space-group type: R3 (146)

Entry from the Alexandria database: crystalline Cs3K3PuI8 at its relaxed geometry (GGA-PBE).

POSCAR file:
```
Cs3K3PuI8
1.0
5.164 2.981 8.898
-5.164 2.981 8.898
0.000 -5.963 8.898
Cs K Pu I
3 3 1 8
direct
0.000 0.500 0.500
0.500 0.000 0.500
0.500 0.500 0.000
0.000 0.000 0.500
0.000 0.500 0.000
0.500 0.000 0.000
0.500 0.500 0.500
0.242 0.242 0.242
0.266 0.720 0.720
0.280 0.280 0.734
0.280 0.734 0.280
0.720 0.266 0.720
0.720 0.720 0.266
0.734 0.280 0.280
0.758 0.758 0.758
```

Calculated values
Energy: -3.58 eV per atom
ΔE_f (raw): -1.408 eV/atom
Space-group type: R-3m (166)

Entry from the Alexandria database: crystalline CsKPuI4 at its relaxed geometry (GGA-PBE).

POSCAR file:
```
CsKPuI4
1.0
-3.121 3.121 9.376
3.121 -3.121 9.376
3.121 3.121 -9.376
Cs K Pu I
1 1 1 4
direct
0.000 0.000 0.000
0.726 0.726 0.000
0.366 0.366 0.000
0.197 0.197 0.000
0.359 0.859 0.500
0.536 0.536 0.000
0.859 0.359 0.500
```

Calculated values
Energy: -4.46 eV per atom
ΔE_f (raw): -1.251 eV/atom
Space-group type: I4mm (107)